# 1
LaZrOs, relaxed, DFT PBE; space-group type = I4mm (107); formation energy from the elements = -0.08 eV/atom
1.0
-1.663 1.663 6.638
1.663 -1.663 6.638
1.663 1.663 -6.638
La Zr Os
1 1 1
Cartesian
0.000 0.000 0.000
0.000 0.000 9.778
0.000 0.000 4.543

# 2
NbGaOsI2, relaxed, DFT PBE; space-group type = P4/mmm (123); formation energy from raw total energies = 1.58 eV per atom
1.0
5.407 0.000 0.000
0.000 5.407 0.000
0.000 0.000 5.305
Nb Ga Os I
1 1 1 2
Cartesian
0.000 0.000 0.000
0.000 0.000 2.652
2.703 2.703 2.652
0.000 2.703 0.000
2.703 0.000 0.000

# 3
MgGePd3, relaxed, DFT PBE; space-group type = Pm-3m (221); formation energy from the elements = 0.48 eV/atom
1.0
4.625 0.000 0.000
0.000 4.625 0.000
0.000 0.000 4.625
Mg Ge Pd
1 1 3
Cartesian
0.000 0.000 0.000
2.313 2.313 2.313
0.000 0.000 2.313
0.000 2.313 0.000
2.313 0.000 0.000

# 4
Ta2Nb2Al, relaxed, DFT PBE; space-group type = I4/mmm (139); formation energy from the elements = 0.70 eV/atom
1.0
-1.890 1.890 6.898
1.890 -1.890 6.898
1.890 1.890 -6.898
Ta Nb Al
2 2 1
Cartesian
0.000 0.000 1.247
0.000 0.000 12.549
1.890 0.000 3.449
0.000 1.890 3.449
0.000 0.000 6.898

# 5
TlSnHgSe, relaxed, DFT PBE; space-group type = Cm (8); formation energy from raw total energies = -0.18 eV per atom
1.0
3.395 -1.963 0.000
3.395 1.963 0.000
-2.254 0.000 9.036
Tl Sn Hg Se
1 1 1 1
Cartesian
0.000 0.000 0.000
4.521 0.000 4.899
2.258 0.000 2.454
2.252 0.000 6.595

# 6
Dy3GaHg2, relaxed, DFT PBE; space-group type = Cmmm (65); formation energy from the elements = -0.50 eV/atom
1.0
2.609 -7.802 0.000
2.609 7.802 0.000
0.000 0.000 3.664
Dy Ga Hg
3 1 2
Cartesian
0.000 0.000 0.000
2.609 2.500 0.000
2.609 -2.500 0.000
2.609 0.000 1.832
2.609 5.157 1.832
2.609 -5.157 1.832

# 7
LiTl3Pd4, relaxed, DFT PBE; space-group type = C2/m (12); formation energy from the elements = -0.22 eV/atom
1.0
3.267 -3.267 0.000
3.267 3.267 0.000
-3.250 0.000 6.801
Li Tl Pd
1 3 4
Cartesian
0.000 0.000 0.000
0.006 0.000 3.327
3.267 0.000 0.000
3.277 0.000 3.474
1.637 1.633 1.626
1.646 1.633 5.175
1.637 -1.633 1.626
1.646 -1.633 5.175

# 8
Ca2LaRu, relaxed, DFT PBE; space-group type = Immm (71); formation energy from the elements = 0.02 eV/atom
1.0
-1.738 2.410 7.578
1.738 -2.410 7.578
1.738 2.410 -7.578
Ca La Ru
2 1 1
Cartesian
0.000 0.000 2.509
0.000 0.000 12.647
0.000 2.410 0.000
1.738 0.000 0.000

# 9
RhN2F, relaxed, DFT PBE; space-group type = Fm-3m (225); formation energy from raw total energies = 1.54 eV per atom
1.0
0.000 2.602 2.602
2.602 0.000 2.602
2.602 2.602 0.000
Rh N F
1 2 1
Cartesian
0.000 0.000 0.000
1.301 1.301 1.301
3.903 3.903 3.903
2.602 2.602 2.602

# 10
Ca8CdAg2, relaxed, DFT PBE; space-group type = Immm (71); formation energy from the elements = -0.12 eV/atom
1.0
-2.552 4.598 7.664
2.552 -4.598 7.664
2.552 4.598 -7.664
Ca Cd Ag
8 1 2
Cartesian
2.552 2.642 -2.510
0.000 0.000 2.083
0.000 2.917 0.000
2.552 2.642 2.510
0.000 1.957 5.154
0.000 6.279 0.000
0.000 0.000 13.245
0.000 1.957 10.174
2.552 0.000 0.000
2.552 0.000 4.671
0.000 4.598 2.993

# 11
Sc2Fe2Mo, relaxed, DFT PBE; space-group type = P4/mbm (127); formation energy from the elements = -0.04 eV/atom
1.0
6.136 0.000 0.000
0.000 6.136 0.000
0.000 0.000 4.349
Sc Fe Mo
4 4 2
Cartesian
1.108 1.960 0.000
1.960 5.027 0.000
4.176 1.108 0.000
5.027 4.176 0.000
0.755 3.822 2.175
2.313 0.755 2.175
3.822 5.381 2.175
5.381 2.313 2.175
0.000 0.000 2.175
3.068 3.068 2.175

# 12
Hg2MoAs, relaxed, DFT PBE; space-group type = C2/m (12); formation energy from the elements = 0.63 eV/atom
1.0
2.685 -5.141 0.000
2.685 5.141 0.000
-1.018 0.000 2.868
Hg Mo As
2 1 1
Cartesian
1.342 2.571 0.000
1.342 -2.571 0.000
-0.509 0.000 1.434
2.176 0.000 1.434